DFT (PBE+U) results for a relaxed structure of La2MnSe2O2.

abc: 4.019 16.506 17.836
angles: 90.00 90.05 90.00
Space group Cc (No. 9)
Symmetry-distinct sites (fractional):
La 0.000 0.075 0.000
La 0.000 0.076 0.327
La 0.000 0.227 0.824
La 0.000 0.232 0.503
Mn 0.004 0.415 0.136
Mn 0.497 0.139 0.164
Se 0.000 0.425 0.352
Se 0.001 0.419 0.991
Se 0.003 0.005 0.165
Se 0.496 0.236 0.666
O 0.000 0.210 0.958
O 0.000 0.211 0.369
O 0.000 0.369 0.551
O 0.000 0.369 0.779

energy above the lowest structure with this stoichiometry: 200 meV per atom